[1]
A geometry-optimized LiLaCo structure. Source: the Alexandria database, functional PBE-GGA.

abc: 5.497 5.497 5.497
angles: 142.91 142.91 53.47
Fractional positions:
Li (0.000, 0.000, 0.000)
La (0.284, 0.284, 0.000)
Co (0.621, 0.621, 0.000)

Its formation enthalpy at 0 K is 0.2101 eV per atom. As for the crystal system: tetragonal. The space group is No. 107. Its magnetization is 0.9 μB per formula unit.

[2]
A geometry-optimized LiLaCo structure. Source: the Alexandria database, functional PBE-GGA.

abc: 4.323 4.323 3.745
angles: 90.00 90.00 120.00
Fractional positions:
Li (0.000, 0.000, 0.000)
La (0.333, 0.667, 0.500)
Co (0.667, 0.333, 0.000)

Its formation enthalpy at 0 K is 0.1958 eV per atom. As for the crystal system: hexagonal. The space group is No. 187. Its magnetization is 0.0 μB per formula unit.

[3]
A geometry-optimized LiLaCo2 structure. Source: the Alexandria database, functional PBE-GGA.

abc: 5.420 5.420 5.420
angles: 45.64 45.64 45.64
Fractional positions:
Li (0.000, 0.000, 0.000)
La (0.500, 0.500, 0.500)
Co (0.319, 0.319, 0.319)
Co (0.681, 0.681, 0.681)

Its formation enthalpy at 0 K is 0.1043 eV per atom. As for the crystal system: trigonal. The space group is No. 166. Its magnetization is 1.7 μB per formula unit.

[4]
A geometry-optimized LiLa4Co structure. Source: the Alexandria database, functional PBE-GGA.

abc: 9.992 9.992 9.992
angles: 60.00 60.00 60.00
Fractional positions:
Li (0.077, 0.077, 0.077)
Li (0.077, 0.077, 0.769)
Li (0.077, 0.769, 0.077)
Li (0.769, 0.077, 0.077)
La (0.060, 0.060, 0.440)
La (0.060, 0.440, 0.060)
La (0.060, 0.440, 0.440)
La (0.313, 0.313, 0.687)
La (0.313, 0.687, 0.313)
La (0.313, 0.687, 0.687)
La (0.440, 0.060, 0.060)
La (0.440, 0.060, 0.440)
La (0.440, 0.440, 0.060)
La (0.470, 0.843, 0.843)
La (0.687, 0.313, 0.313)
La (0.687, 0.313, 0.687)
La (0.687, 0.687, 0.313)
La (0.843, 0.470, 0.843)
La (0.843, 0.843, 0.470)
La (0.843, 0.843, 0.843)
Co (0.078, 0.641, 0.641)
Co (0.641, 0.078, 0.641)
Co (0.641, 0.641, 0.078)
Co (0.641, 0.641, 0.641)

Its formation enthalpy at 0 K is -0.0612 eV per atom. As for the crystal system: cubic. The space group is No. 216. Its magnetization is 0.0 μB per formula unit.

[5]
A geometry-optimized Li2LaCo2 structure. Source: the Alexandria database, functional PBE-GGA.

abc: 6.926 6.926 3.351
angles: 90.00 90.00 90.00
Fractional positions:
Li (0.151, 0.349, 0.000)
Li (0.349, 0.849, 0.000)
Li (0.651, 0.151, 0.000)
Li (0.849, 0.651, 0.000)
La (0.000, 0.000, 0.500)
La (0.500, 0.500, 0.500)
Co (0.125, 0.625, 0.500)
Co (0.375, 0.125, 0.500)
Co (0.625, 0.875, 0.500)
Co (0.875, 0.375, 0.500)

Its formation enthalpy at 0 K is 0.3224 eV per atom. As for the crystal system: tetragonal. The space group is No. 127. Its magnetization is 1.3 μB per formula unit.

[6]
A geometry-optimized LiLaCo2 structure. Source: the Alexandria database, functional PBE-GGA.

abc: 3.110 3.110 7.488
angles: 90.00 90.00 90.00
Fractional positions:
Li (0.000, 0.000, 0.000)
La (0.500, 0.500, 0.625)
Co (0.000, 0.000, 0.340)
Co (0.500, 0.500, 0.215)

Its formation enthalpy at 0 K is 0.2268 eV per atom. As for the crystal system: tetragonal. The space group is No. 99. Its magnetization is 3.0 μB per formula unit.

[7]
A geometry-optimized LiLa4Co structure. Source: the Alexandria database, functional PBE-GGA.

abc: 8.321 8.321 6.251
angles: 103.12 103.12 114.34
Fractional positions:
Li (0.117, 0.883, 0.750)
Li (0.883, 0.117, 0.250)
La (0.174, 0.316, 0.845)
La (0.196, 0.570, 0.417)
La (0.316, 0.174, 0.345)
La (0.430, 0.804, 0.083)
La (0.570, 0.196, 0.917)
La (0.684, 0.826, 0.655)
La (0.804, 0.430, 0.583)
La (0.826, 0.684, 0.155)
Co (0.490, 0.510, 0.250)
Co (0.510, 0.490, 0.750)

Its formation enthalpy at 0 K is 0.0179 eV per atom. As for the crystal system: monoclinic. The space group is No. 15. Its magnetization is 0.0 μB per formula unit.

[8]
A geometry-optimized LiLaCo2 structure. Source: the Alexandria database, functional PBE-GGA.

abc: 3.220 4.115 5.249
angles: 90.00 102.03 90.00
Fractional positions:
Li (0.000, 0.000, 0.000)
La (0.500, 0.000, 0.500)
Co (0.197, 0.500, 0.828)
Co (0.803, 0.500, 0.172)

Its formation enthalpy at 0 K is 0.3495 eV per atom. As for the crystal system: monoclinic. The space group is No. 10. Its magnetization is 1.9 μB per formula unit.